(1)
First-principles (meta-GGA SCAN) data for a crystal of Na2ZnAg2 relaxed with PBEsol, as listed in Alexandria via LeMat-Bulk.

Results
The calculation puts the magnetization at 0.000 μB per cell. Its formation energy is 0.03 eV per atom. The calculated density comes out at 5.10 g/cm3.

Geometry as CIF:
```
data_Na2ZnAg2
_cell_length_a 6.6899
_cell_length_b 6.6899
_cell_length_c 4.7612
_cell_angle_alpha 90.00
_cell_angle_beta 90.00
_cell_angle_gamma 90.00
_space_group_name_H-M_alt 'P 4/m b m'
_space_group_IT_number 127
_space_group_name_Hall '-P 4 2ab'
loop_
_atom_site_label
_atom_site_fract_x
_atom_site_fract_y
_atom_site_fract_z
Na1 0.1701 0.3299 0.0000
Zn1 0.0000 0.0000 0.5000
Ag1 0.1434 0.6434 0.5000
```

(2)
First-principles (meta-GGA SCAN) data for a crystal of HgTe2P relaxed with PBEsol, as listed in Alexandria via LeMat-Bulk.

Results
The calculation puts the magnetization at 0.000 μB per cell. The calculation puts the energy relative to the lowest polymorph listed for this composition at 0.0 meV/atom. The raw formation energy is 190 meV/atom. The calculated density comes out at 7.60 g/cm3.

Geometry as CIF:
```
data_HgTe2P
_cell_length_a 3.6418
_cell_length_b 3.6418
_cell_length_c 27.7666
_cell_angle_alpha 90.00
_cell_angle_beta 90.00
_cell_angle_gamma 120.00
_space_group_name_H-M_alt 'R -3 m'
_space_group_IT_number 166
_space_group_name_Hall '-R 3 2"'
loop_
_atom_site_label
_atom_site_fract_x
_atom_site_fract_y
_atom_site_fract_z
Hg1 0.0000 0.0000 0.0000
Te1 0.0000 0.0000 0.2285
P1 0.0000 0.0000 0.5000
```

(3)
First-principles (meta-GGA SCAN) data for a crystal of MgZnP2 relaxed with PBEsol, as listed in Alexandria via LeMat-Bulk.

Results
The calculation puts the magnetization at 0.000 μB per cell. The calculation puts the energy relative to the lowest polymorph listed for this composition at 38.9 meV/atom. Its formation energy is 0.15 eV per atom. The calculated density comes out at 4.00 g/cm3.

Geometry as CIF:
```
data_MgZnP2
_cell_length_a 4.0949
_cell_length_b 4.0949
_cell_length_c 7.5066
_cell_angle_alpha 90.00
_cell_angle_beta 90.00
_cell_angle_gamma 90.00
_space_group_name_H-M_alt 'I 4/m m m'
_space_group_IT_number 139
_space_group_name_Hall '-I 4 2'
loop_
_atom_site_label
_atom_site_fract_x
_atom_site_fract_y
_atom_site_fract_z
Mg1 0.0000 0.0000 0.0000
Zn1 0.0000 0.0000 0.5000
P1 0.0000 0.5000 0.2500
```

(4)
First-principles (meta-GGA SCAN) data for a crystal of Li2CaRu relaxed with PBEsol, as listed in Alexandria via LeMat-Bulk.

Results
The calculation puts the magnetization at 0.000 μB per cell. The calculation puts the energy relative to the lowest polymorph listed for this composition at 144.6 meV/atom. Its formation energy is 0.49 eV per atom. The calculated density comes out at 3.37 g/cm3.

Geometry as CIF:
```
data_Li2CaRu
_cell_length_a 3.9526
_cell_length_b 3.9526
_cell_length_c 19.5714
_cell_angle_alpha 90.00
_cell_angle_beta 90.00
_cell_angle_gamma 90.00
_space_group_name_H-M_alt 'I -4 2 d'
_space_group_IT_number 122
_space_group_name_Hall 'I -4 2bw'
loop_
_atom_site_label
_atom_site_fract_x
_atom_site_fract_y
_atom_site_fract_z
Li1 0.1921 0.7500 0.1250
Ca1 0.0000 0.0000 0.5000
Ru1 0.0000 0.0000 0.0000
```